Record 1
Material: Be2ZnPtS
Method: DFT, PBE
State: optimized geometry

abc: 3.9003 4.8986 3.9003
angles: 90.00 90.00 90.00
Fractional positions:
Be (0.0000, 0.0000, 0.5000)
Be (0.5000, 0.0000, 0.0000)
Zn (0.5000, 0.5000, 0.5000)
S (0.0000, 0.0000, 0.0000)
Pt (0.0000, 0.5000, 0.0000)

Values from the calculation:
As for the crystal system: tetragonal.



Record 2
Material: BeSb2Pt
Method: DFT, PBE
State: optimized geometry

abc: 5.9555 5.9555 6.9367
angles: 64.58 64.58 90.00
Fractional positions:
Sb (0.5994, 0.1250, 0.2500)
Sb (0.1506, 0.6250, 0.2500)
Sb (0.3750, 0.4006, 0.7500)
Sb (0.8750, 0.8494, 0.7500)
Pt (0.0000, 0.0000, 0.0000)
Pt (0.7500, 0.2500, 0.5000)
Be (0.5000, 0.5000, 0.0000)
Be (0.2500, 0.7500, 0.5000)

Values from the calculation:
As for the crystal system: tetragonal.



Record 3
Material: Be4SbPt
Method: DFT, PBE
State: optimized geometry

abc: 4.6888 4.6888 4.6888
angles: 60.00 60.00 60.00
Fractional positions:
Be (0.8701, 0.3766, 0.3766)
Be (0.3766, 0.3766, 0.8701)
Be (0.3766, 0.8701, 0.3766)
Be (0.3766, 0.3766, 0.3766)
Sb (0.0000, 0.0000, 0.0000)
Pt (0.7500, 0.7500, 0.7500)

Values from the calculation:
As for the crystal system: cubic.



Record 4
Material: BeSb2Pt
Method: DFT, PBE
State: optimized geometry

abc: 4.0193 4.0193 6.6685
angles: 71.87 71.87 59.95
Fractional positions:
Sb (0.9673, 0.9673, 0.1102)
Sb (0.7834, 0.7834, 0.6400)
Pt (0.2087, 0.2087, 0.3728)
Be (0.5405, 0.5405, 0.3769)

Values from the calculation:
As for the crystal system: monoclinic.



Record 5
Material: BeSbPt
Method: DFT, PBE
State: optimized geometry

abc: 4.2597 4.2597 4.2597
angles: 60.00 60.00 60.00
Fractional positions:
Sb (0.0000, 0.0000, 0.0000)
Pt (0.7500, 0.7500, 0.7500)
Be (0.5000, 0.5000, 0.5000)

Values from the calculation:
The excess energy over the best structure of this formula in the dataset is 0.0000 eV/atom. As for the crystal system: cubic.



Record 6
Material: BeSb2Pt
Method: DFT, PBE
State: optimized geometry

abc: 3.1793 3.1805 8.1917
angles: 90.00 90.00 90.00
Fractional positions:
Sb (0.0000, 0.0000, 0.9177)
Sb (0.5000, 0.5000, 0.3364)
Pt (0.5000, 0.5000, 0.6724)
Be (0.0000, 0.0000, 0.5735)

Values from the calculation:
As for the crystal system: tetragonal.



Record 7
Material: BeSb2Pt
Method: DFT, PBE
State: optimized geometry

abc: 5.9363 5.9363 5.9363
angles: 141.67 141.67 55.33
Fractional positions:
Sb (0.0000, 0.0000, 0.0000)
Sb (0.2500, 0.7500, 0.5000)
Pt (0.7500, 0.2500, 0.5000)
Be (0.5000, 0.5000, 0.0000)

Values from the calculation:
As for the crystal system: tetragonal.



Record 8
Material: BeSbPt
Method: DFT, PBE
State: optimized geometry

abc: 4.5301 4.5301 4.5240
angles: 131.13 131.13 71.71
Fractional positions:
Sb (0.6800, 0.6800, 0.0000)
Pt (0.3146, 0.3146, 0.0000)
Be (0.0054, 0.0054, 0.0000)

Values from the calculation:
The excess energy over the best structure of this formula in the dataset is 0.2328 eV/atom. As for the crystal system: orthorhombic.



Record 9
Material: BeSb2Pt2
Method: DFT, PBE
State: optimized geometry

abc: 6.0019 6.0019 5.4018
angles: 90.00 90.00 90.00
Fractional positions:
Sb (0.2940, 0.7940, 0.5000)
Sb (0.7940, 0.7060, 0.5000)
Sb (0.7060, 0.2060, 0.5000)
Sb (0.2060, 0.2940, 0.5000)
Pt (0.3395, 0.8395, 0.0000)
Pt (0.8395, 0.6605, 0.0000)
Pt (0.6605, 0.1605, 0.0000)
Pt (0.1605, 0.3395, 0.0000)
Be (0.0000, 0.0000, 0.0000)
Be (0.5000, 0.5000, 0.0000)

Values from the calculation:
As for the crystal system: tetragonal.



Record 10
Material: BeSb2Pt
Method: DFT, PBE
State: optimized geometry

abc: 6.6574 6.6574 6.6574
angles: 147.91 147.60 46.25
Fractional positions:
Sb (0.0037, 0.0037, 0.0000)
Sb (0.7305, 0.2305, 0.5000)
Pt (0.3294, 0.8294, 0.5000)
Be (0.4364, 0.4364, 0.0000)

Values from the calculation:
As for the crystal system: orthorhombic.



Record 11
Material: BeSbPt3
Method: DFT, PBE
State: optimized geometry

abc: 4.3663 4.3663 4.3663
angles: 90.00 90.00 90.00
Fractional positions:
Sb (0.5000, 0.5000, 0.5000)
Pt (0.0000, 0.5000, 0.0000)
Pt (0.0000, 0.0000, 0.5000)
Pt (0.5000, 0.0000, 0.0000)
Be (0.0000, 0.0000, 0.0000)

Values from the calculation:
The excess energy over the best structure of this formula in the dataset is 0.0000 eV/atom. As for the crystal system: cubic.



Record 12
Material: BeSb2Pt
Method: DFT, PBE
State: optimized geometry

abc: 4.3853 4.6086 4.6114
angles: 64.37 90.00 90.00
Fractional positions:
Sb (0.0000, 0.9020, 0.9020)
Sb (0.5000, 0.3463, 0.3461)
Pt (0.5000, 0.6914, 0.6917)
Be (0.0000, 0.5603, 0.5602)

Values from the calculation:
As for the crystal system: orthorhombic.



Record 13
Material: BeSb3Pt
Method: DFT, PBE
State: optimized geometry

abc: 5.2650 5.2650 5.2650
angles: 90.00 90.00 90.00
Fractional positions:
Sb (0.0000, 0.5000, 0.0000)
Sb (0.0000, 0.0000, 0.5000)
Sb (0.5000, 0.0000, 0.0000)
Pt (0.0000, 0.0000, 0.0000)
Be (0.5000, 0.5000, 0.5000)

Values from the calculation:
The excess energy over the best structure of this formula in the dataset is 0.3212 eV/atom. As for the crystal system: cubic.



Record 14
Material: BeSbPt
Method: DFT, PBE
State: optimized geometry

abc: 6.0988 6.1096 3.0197
angles: 75.48 75.88 28.64
Fractional positions:
Sb (0.6604, 0.6604, 0.3396)
Pt (0.3815, 0.3815, 0.6185)
Be (0.9580, 0.9580, 0.0420)

Values from the calculation:
The excess energy over the best structure of this formula in the dataset is 0.1656 eV/atom. As for the crystal system: orthorhombic.



Record 15
Material: BeSb3Pt
Method: DFT, PBE
State: optimized geometry

abc: 4.7885 4.7885 4.7885
angles: 90.00 90.00 90.00
Fractional positions:
Sb (0.0000, 0.5000, 0.0000)
Sb (0.0000, 0.0000, 0.5000)
Sb (0.5000, 0.0000, 0.0000)
Pt (0.5000, 0.5000, 0.5000)
Be (0.0000, 0.0000, 0.0000)

Values from the calculation:
The excess energy over the best structure of this formula in the dataset is 0.0000 eV/atom. As for the crystal system: cubic.



Record 16
Material: BeSbPt
Method: DFT, PBE
State: optimized geometry

abc: 3.9534 3.9534 3.8226
angles: 90.00 90.00 120.00
Fractional positions:
Sb (0.6667, 0.3333, 0.6665)
Pt (0.3333, 0.6667, 0.1661)
Be (0.0000, 0.0000, 0.1673)

Values from the calculation:
The excess energy over the best structure of this formula in the dataset is 0.1226 eV/atom. As for the crystal system: hexagonal.



Record 17
Material: BeSb2Pt
Method: DFT, PBE
State: optimized geometry

abc: 3.8449 3.8449 6.6150
angles: 72.93 72.93 60.31
Fractional positions:
Sb (0.0027, 0.0027, 0.9919)
Sb (0.4973, 0.4973, 0.5081)
Pt (0.2500, 0.2500, 0.2500)
Be (0.7500, 0.7500, 0.7500)

Values from the calculation:
As for the crystal system: monoclinic.



Record 18
Material: BeSb2Pt
Method: DFT, PBE
State: optimized geometry

abc: 3.0686 3.5364 7.0677
angles: 90.00 90.00 90.00
Fractional positions:
Sb (0.0000, 0.0000, 0.0063)
Sb (0.0000, 0.0000, 0.4937)
Pt (0.5000, 0.5000, 0.7500)
Be (0.5000, 0.5000, 0.2500)

Values from the calculation:
As for the crystal system: orthorhombic.



Record 19
Material: BeSb2Pt
Method: DFT, PBE
State: optimized geometry

abc: 4.8298 4.8298 4.8298
angles: 60.00 60.00 60.00
Fractional positions:
Sb (0.0000, 0.0000, 0.0000)
Sb (0.2500, 0.2500, 0.2500)
Pt (0.7500, 0.7500, 0.7500)
Be (0.5000, 0.5000, 0.5000)

Values from the calculation:
As for the crystal system: cubic.



Record 20
Material: BeSb2Pt
Method: DFT, PBE
State: optimized geometry

abc: 4.5185 4.5380 3.7881
angles: 90.00 90.00 90.00
Fractional positions:
Sb (0.0000, 0.0000, 0.0000)
Sb (0.5000, 0.5000, 0.0000)
Pt (0.0000, 0.5000, 0.5000)
Be (0.5000, 0.0000, 0.5000)

Values from the calculation:
As for the crystal system: orthorhombic.



Record 21
Material: BeSb2Pt
Method: DFT, PBE
State: optimized geometry

abc: 3.5238 4.9881 4.9903
angles: 72.62 90.00 90.00
Fractional positions:
Sb (0.0000, 0.0036, 0.0035)
Sb (0.0000, 0.4964, 0.4965)
Pt (0.5000, 0.7500, 0.7500)
Be (0.5000, 0.2500, 0.2500)

Values from the calculation:
As for the crystal system: orthorhombic.



Record 22
Material: BeSb2Pt
Method: DFT, PBE
State: optimized geometry

abc: 7.4368 7.4368 7.4368
angles: 154.99 151.37 38.38
Fractional positions:
Sb (0.9001, 0.9001, 0.0000)
Sb (0.5999, 0.5999, 0.0000)
Pt (0.2500, 0.7500, 0.5000)
Be (0.7500, 0.2500, 0.5000)

Values from the calculation:
As for the crystal system: orthorhombic.



Record 23
Material: BeSb2Pt
Method: DFT, PBE
State: optimized geometry

abc: 4.7930 4.7911 4.7899
angles: 68.44 74.65 111.59
Fractional positions:
Sb (0.0000, 0.0000, 0.0000)
Sb (0.5000, 0.0000, 0.5000)
Pt (0.5000, 0.5000, 0.0000)
Be (0.0000, 0.5000, 0.5000)

Values from the calculation:
As for the crystal system: tetragonal.



Record 24
Material: BeSbPt3
Method: DFT, PBE
State: optimized geometry

abc: 4.9192 4.9192 4.9192
angles: 90.00 90.00 90.00
Fractional positions:
Sb (0.0000, 0.0000, 0.0000)
Pt (0.0000, 0.5000, 0.0000)
Pt (0.0000, 0.0000, 0.5000)
Pt (0.5000, 0.0000, 0.0000)
Be (0.5000, 0.5000, 0.5000)

Values from the calculation:
The excess energy over the best structure of this formula in the dataset is 1.2329 eV/atom. As for the crystal system: cubic.



Record 25
Material: Sm3Be2SbPt9
Method: DFT, PBE
State: optimized geometry

abc: 5.8843 5.8843 9.4736
angles: 90.00 90.00 120.00
Fractional positions:
Sm (0.3333, 0.6667, 0.6410)
Sm (0.0000, 0.0000, 0.0000)
Sm (0.6667, 0.3333, 0.3590)
Be (0.3333, 0.6667, 0.1442)
Be (0.6667, 0.3333, 0.8558)
Sb (0.0000, 0.0000, 0.5000)
Pt (0.8350, 0.1650, 0.7154)
Pt (0.8350, 0.6699, 0.7154)
Pt (0.3301, 0.1650, 0.7154)
Pt (0.6699, 0.8350, 0.2846)
Pt (0.1650, 0.3301, 0.2846)
Pt (0.1650, 0.8350, 0.2846)
Pt (0.5000, 0.0000, 0.0000)
Pt (0.0000, 0.5000, 0.0000)
Pt (0.5000, 0.5000, 0.0000)

Values from the calculation:
As for the crystal system: trigonal.



Record 26
Material: Sr2BeSbPt6
Method: DFT, PBE
State: optimized geometry

abc: 6.1039 7.2674 6.1107
angles: 65.02 60.03 90.00
Fractional positions:
Sr (0.7776, 0.3317, 0.4448)
Sr (0.2224, 0.6683, 0.5552)
Be (0.0000, 0.0000, 0.0000)
Sb (0.5000, 0.5000, 0.0000)
Pt (0.2372, 0.1682, 0.5257)
Pt (0.7625, 0.8302, 0.9337)
Pt (0.3035, 0.8300, 0.9339)
Pt (0.6964, 0.1700, 0.0661)
Pt (0.2375, 0.1698, 0.0663)
Pt (0.7628, 0.8318, 0.4743)

Values from the calculation:
As for the crystal system: monoclinic.



Record 27
Material: BeSbTe2Pt
Method: DFT, PBE
State: optimized geometry

abc: 5.4700 5.4700 5.0535
angles: 90.00 90.00 90.00
Fractional positions:
Sb (0.0000, 0.0000, 0.5000)
Te (0.0000, 0.5000, 0.0000)
Te (0.5000, 0.0000, 0.0000)
Pt (0.0000, 0.0000, 0.0000)
Be (0.5000, 0.5000, 0.5000)

Values from the calculation:
The excess energy over the best structure of this formula in the dataset is 0.2093 eV/atom. As for the crystal system: tetragonal.



Record 28
Material: BeSbTe2Pt
Method: DFT, PBE
State: optimized geometry

abc: 4.8824 4.8824 4.7237
angles: 90.00 90.00 90.00
Fractional positions:
Sb (0.0000, 0.0000, 0.5000)
Te (0.0000, 0.5000, 0.0000)
Te (0.5000, 0.0000, 0.0000)
Pt (0.5000, 0.5000, 0.5000)
Be (0.0000, 0.0000, 0.0000)

Values from the calculation:
The excess energy over the best structure of this formula in the dataset is 0.0000 eV/atom. As for the crystal system: tetragonal.



Record 29
Material: Ti2BeSbPt
Method: DFT, PBE
State: optimized geometry

abc: 4.3590 4.3711 4.3590
angles: 90.00 90.00 90.00
Fractional positions:
Sb (0.0000, 0.5000, 0.0000)
Be (0.0000, 0.0000, 0.0000)
Pt (0.5000, 0.5000, 0.5000)
Ti (0.0000, 0.0000, 0.5000)
Ti (0.5000, 0.0000, 0.0000)

Values from the calculation:
As for the crystal system: tetragonal.



Number 1: DOS at the Fermi energy 1.6 states/eV per cell, uncorrected energy -16.944 eV for the cell shown. Number 2: DOS at the Fermi energy 5.2 states/eV per cell, uncorrected energy -35.293 eV for the cell shown. Number 3: DOS at the Fermi energy 4.6 states/eV per cell, uncorrected energy -24.356 eV for the cell shown. Number 4: DOS at the Fermi energy 1.7 states/eV per cell, uncorrected energy -19.046 eV for the cell shown. Number 5: DOS at the Fermi energy 1.1 states/eV per cell, uncorrected energy -14.742 eV for the cell shown. Number 6: DOS at the Fermi energy 1.2 states/eV per cell, uncorrected energy -18.545 eV for the cell shown. Number 7: DOS at the Fermi energy 2.6 states/eV per cell, uncorrected energy -16.623 eV for the cell shown. Number 8: DOS at the Fermi energy 0.9 states/eV per cell, uncorrected energy -14.044 eV for the cell shown. Number 9: DOS at the Fermi energy 4.5 states/eV per cell, uncorrected energy -49.512 eV for the cell shown. Number 10: DOS at the Fermi energy 1.8 states/eV per cell, uncorrected energy -18.202 eV for the cell shown. Number 11: DOS at the Fermi energy 2.5 states/eV per cell, uncorrected energy -26.350 eV for the cell shown. Number 12: DOS at the Fermi energy 1.0 states/eV per cell, uncorrected energy -18.708 eV for the cell shown. Number 13: DOS at the Fermi energy 4.8 states/eV per cell, uncorrected energy -17.700 eV for the cell shown. Number 14: DOS at the Fermi energy 1.3 states/eV per cell, uncorrected energy -14.245 eV for the cell shown. Number 15: DOS at the Fermi energy 2.8 states/eV per cell, uncorrected energy -19.306 eV for the cell shown. Number 16: DOS at the Fermi energy 1.3 states/eV per cell, uncorrected energy -14.374 eV for the cell shown. Number 17: DOS at the Fermi energy 1.7 states/eV per cell, uncorrected energy -17.813 eV for the cell shown. Number 18: DOS at the Fermi energy 1.4 states/eV per cell, uncorrected energy -16.808 eV for the cell shown. Number 19: DOS at the Fermi energy 1.5 states/eV per cell, uncorrected energy -16.125 eV for the cell shown. Number 20: DOS at the Fermi energy 2.0 states/eV per cell, uncorrected energy -16.772 eV for the cell shown. Number 21: DOS at the Fermi energy 1.3 states/eV per cell, uncorrected energy -17.251 eV for the cell shown. Number 22: DOS at the Fermi energy 1.8 states/eV per cell, uncorrected energy -18.528 eV for the cell shown. Number 23: DOS at the Fermi energy 0.8 states/eV per cell, uncorrected energy -17.185 eV for the cell shown. Number 24: DOS at the Fermi energy 3.9 states/eV per cell, uncorrected energy -20.185 eV for the cell shown. Number 25: DOS at the Fermi energy 5.3 states/eV per cell, uncorrected energy -91.516 eV for the cell shown. Number 26: DOS at the Fermi energy 3.9 states/eV per cell, uncorrected energy -53.726 eV for the cell shown. Number 27: DOS at the Fermi energy 5.5 states/eV per cell, uncorrected energy -15.889 eV for the cell shown. Number 28: DOS at the Fermi energy 3.6 states/eV per cell, uncorrected energy -16.935 eV for the cell shown. Number 29: DOS at the Fermi energy 3.6 states/eV per cell, uncorrected energy -28.952 eV for the cell shown.